This record from the Alexandria database describes a relaxed structure of K3TbY3Te8. The functional is PBE-GGA.

The structure in CIF format:
```
data_K3TbY3Te8
_cell_length_a 8.7966
_cell_length_b 8.7966
_cell_length_c 25.5060
_cell_angle_alpha 90.00
_cell_angle_beta 90.00
_cell_angle_gamma 120.00
_symmetry_space_group_name_H-M 'R -3 m'
_symmetry_Int_Tables_number 166
_symmetry_space_group_name_Hall '-R 3 2"'
loop_
_atom_site_label
_atom_site_type_symbol
_atom_site_fract_x
_atom_site_fract_y
_atom_site_fract_z
K1 K 0.0000 0.5000 0.0000
Tb1 Tb 0.0000 0.0000 0.5000
Y1 Y 0.0000 0.5000 0.5000
Te1 Te 0.0000 0.0000 0.2365
Te2 Te 0.0030 0.5015 0.7637
```

formation energy (no corrections) = -20.01 eV per formula unit

***

This record from the Alexandria database describes a relaxed structure of MgSc2Ta. The functional is PBE-GGA.

The structure in CIF format:
```
data_MgSc2Ta
_cell_length_a 10.235
_cell_length_b 3.046
_cell_length_c 5.604
_cell_angle_alpha 90.00
_cell_angle_beta 100.27
_cell_angle_gamma 90.00
_symmetry_space_group_name_H-M 'C 1 2/m 1'
_symmetry_Int_Tables_number 12
_symmetry_space_group_name_Hall '-C 2y'
loop_
_atom_site_label
_atom_site_type_symbol
_atom_site_fract_x
_atom_site_fract_y
_atom_site_fract_z
Mg1 Mg 0.000 0.000 0.000
Sc1 Sc 0.244 0.000 0.735
Ta1 Ta 0.000 0.500 0.500
```

ΔH_f (0 K) = 0.20 eV per atom

***

This record from the Alexandria database describes a relaxed structure of Tm5Tl2Sn2. The functional is PBE-GGA.

The structure in CIF format:
```
data_Tm5Tl2Sn2
_cell_length_a 15.497
_cell_length_b 8.086
_cell_length_c 7.984
_cell_angle_alpha 90.00
_cell_angle_beta 90.00
_cell_angle_gamma 90.00
_symmetry_space_group_name_H-M 'C m c e'
_symmetry_Int_Tables_number 64
_symmetry_space_group_name_Hall '-C 2ac 2'
loop_
_atom_site_label
_atom_site_type_symbol
_atom_site_fract_x
_atom_site_fract_y
_atom_site_fract_z
Tm1 Tm 0.000 0.000 0.000
Tm2 Tm 0.139 0.172 0.330
Tl1 Tl 0.000 0.132 0.631
Sn1 Sn 0.206 0.000 0.000
```

ΔH_f (0 K) = -0.48 eV per atom

***

This record from the Alexandria database describes a relaxed structure of TcMoRh3. The functional is PBE-GGA.

The structure in CIF format:
```
data_TcMoRh3
_cell_length_a 4.629
_cell_length_b 4.629
_cell_length_c 4.629
_cell_angle_alpha 90.00
_cell_angle_beta 90.00
_cell_angle_gamma 90.00
_symmetry_space_group_name_H-M 'P m -3 m'
_symmetry_Int_Tables_number 221
_symmetry_space_group_name_Hall '-P 4 2 3'
loop_
_atom_site_label
_atom_site_type_symbol
_atom_site_fract_x
_atom_site_fract_y
_atom_site_fract_z
Tc1 Tc 0.000 0.000 0.000
Mo1 Mo 0.500 0.500 0.500
Rh1 Rh 0.000 0.000 0.500
```

ΔH_f (0 K) = 1.51 eV per atom
polymorph energy (0 for the lowest one) = 1608 meV/atom

***

This record from the Alexandria database describes a relaxed structure of YHoV4. The functional is PBE-GGA.

The structure in CIF format:
```
data_YHoV4
_cell_length_a 7.629
_cell_length_b 7.629
_cell_length_c 7.629
_cell_angle_alpha 90.00
_cell_angle_beta 90.00
_cell_angle_gamma 90.00
_symmetry_space_group_name_H-M 'F -4 3 m'
_symmetry_Int_Tables_number 216
_symmetry_space_group_name_Hall 'F -4 2 3'
loop_
_atom_site_label
_atom_site_type_symbol
_atom_site_fract_x
_atom_site_fract_y
_atom_site_fract_z
Y1 Y 0.000 0.000 0.000
Ho1 Ho 0.250 0.250 0.250
V1 V 0.120 0.120 0.620
```

ΔH_f (0 K) = 0.37 eV per atom

***

This record from the Alexandria database describes a relaxed structure of LaTh2Sn9. The functional is PBE-GGA.

The structure in CIF format:
```
data_LaTh2Sn9
_cell_length_a 4.765
_cell_length_b 4.765
_cell_length_c 14.326
_cell_angle_alpha 90.00
_cell_angle_beta 90.00
_cell_angle_gamma 90.00
_symmetry_space_group_name_H-M 'P 4/m m m'
_symmetry_Int_Tables_number 123
_symmetry_space_group_name_Hall '-P 4 2'
loop_
_atom_site_label
_atom_site_type_symbol
_atom_site_fract_x
_atom_site_fract_y
_atom_site_fract_z
La1 La 0.000 0.000 0.000
Th1 Th 0.000 0.000 0.336
Sn1 Sn 0.000 0.500 0.169
Sn2 Sn 0.000 0.500 0.500
Sn3 Sn 0.500 0.500 0.000
Sn4 Sn 0.500 0.500 0.333
```

ΔH_f (0 K) = -0.49 eV per atom

***

This record from the Alexandria database describes a relaxed structure of TlCuSb2Te. The functional is PBE-GGA.

The structure in CIF format:
```
data_TlCuSb2Te
_cell_length_a 5.689
_cell_length_b 5.689
_cell_length_c 5.808
_cell_angle_alpha 90.00
_cell_angle_beta 90.00
_cell_angle_gamma 90.00
_symmetry_space_group_name_H-M 'P 4/m m m'
_symmetry_Int_Tables_number 123
_symmetry_space_group_name_Hall '-P 4 2'
loop_
_atom_site_label
_atom_site_type_symbol
_atom_site_fract_x
_atom_site_fract_y
_atom_site_fract_z
Tl1 Tl 0.000 0.000 0.000
Cu1 Cu 0.500 0.500 0.500
Sb1 Sb 0.000 0.500 0.000
Te1 Te 0.000 0.000 0.500
```

formation energy (no corrections) = 6.05 eV per formula unit
polymorph energy (0 for the lowest one) = 926 meV/atom

***

This record from the Alexandria database describes a relaxed structure of LiMgZn. The functional is PBE-GGA.

The structure in CIF format:
```
data_LiMgZn
_cell_length_a 4.5879
_cell_length_b 4.5879
_cell_length_c 2.8809
_cell_angle_alpha 90.00
_cell_angle_beta 90.00
_cell_angle_gamma 120.00
_symmetry_space_group_name_H-M 'P 3 m 1'
_symmetry_Int_Tables_number 156
_symmetry_space_group_name_Hall 'P 3 -2"'
loop_
_atom_site_label
_atom_site_type_symbol
_atom_site_fract_x
_atom_site_fract_y
_atom_site_fract_z
Li1 Li 0.0000 0.0000 0.0000
Mg1 Mg 0.6667 0.3333 0.3988
Zn1 Zn 0.3333 0.6667 0.8128
```

ΔH_f (0 K) = -0.11 eV per atom
polymorph energy (0 for the lowest one) = 24 meV/atom

***

This record from the Alexandria database describes a relaxed structure of Nb2Sn2Pd. The functional is PBE-GGA.

The structure in CIF format:
```
data_Nb2Sn2Pd
_cell_length_a 7.046
_cell_length_b 7.046
_cell_length_c 3.987
_cell_angle_alpha 90.00
_cell_angle_beta 90.00
_cell_angle_gamma 90.00
_symmetry_space_group_name_H-M 'P 4/m b m'
_symmetry_Int_Tables_number 127
_symmetry_space_group_name_Hall '-P 4 2ab'
loop_
_atom_site_label
_atom_site_type_symbol
_atom_site_fract_x
_atom_site_fract_y
_atom_site_fract_z
Nb1 Nb 0.161 0.339 0.000
Sn1 Sn 0.143 0.643 0.500
Pd1 Pd 0.000 0.000 0.500
```

ΔH_f (0 K) = 0.04 eV per atom
polymorph energy (0 for the lowest one) = 0 meV/atom

***

This record from the Alexandria database describes a relaxed structure of Zr2Ir. The functional is PBE-GGA.

The structure in CIF format:
```
data_Zr2Ir
_cell_length_a 6.463
_cell_length_b 6.463
_cell_length_c 6.463
_cell_angle_alpha 90.00
_cell_angle_beta 90.00
_cell_angle_gamma 90.00
_symmetry_space_group_name_H-M 'F m -3 m'
_symmetry_Int_Tables_number 225
_symmetry_space_group_name_Hall '-F 4 2 3'
loop_
_atom_site_label
_atom_site_type_symbol
_atom_site_fract_x
_atom_site_fract_y
_atom_site_fract_z
Zr1 Zr 0.250 0.250 0.250
Ir1 Ir 0.000 0.000 0.000
```

ΔH_f (0 K) = -0.52 eV per atom

***

This record from the Alexandria database describes a relaxed structure of CdReHg2I. The functional is PBE-GGA.

The structure in CIF format:
```
data_CdReHg2I
_cell_length_a 7.572
_cell_length_b 7.572
_cell_length_c 5.687
_cell_angle_alpha 90.00
_cell_angle_beta 90.00
_cell_angle_gamma 90.00
_symmetry_space_group_name_H-M 'P 4/m m m'
_symmetry_Int_Tables_number 123
_symmetry_space_group_name_Hall '-P 4 2'
loop_
_atom_site_label
_atom_site_type_symbol
_atom_site_fract_x
_atom_site_fract_y
_atom_site_fract_z
Cd1 Cd 0.000 0.000 0.000
Re1 Re 0.500 0.500 0.000
Hg1 Hg 0.000 0.500 0.500
I1 I 0.000 0.000 0.500
```

formation energy (no corrections) = 7.84 eV per formula unit

***

This record from the Alexandria database describes a relaxed structure of Hf3CuC. The functional is PBE-GGA.

The structure in CIF format:
```
data_Hf3CuC
_cell_length_a 4.432
_cell_length_b 4.432
_cell_length_c 4.432
_cell_angle_alpha 90.00
_cell_angle_beta 90.00
_cell_angle_gamma 90.00
_symmetry_space_group_name_H-M 'P m -3 m'
_symmetry_Int_Tables_number 221
_symmetry_space_group_name_Hall '-P 4 2 3'
loop_
_atom_site_label
_atom_site_type_symbol
_atom_site_fract_x
_atom_site_fract_y
_atom_site_fract_z
Hf1 Hf 0.000 0.000 0.500
Cu1 Cu 0.500 0.500 0.500
C1 C 0.000 0.000 0.000
```

ΔH_f (0 K) = -0.30 eV per atom
polymorph energy (0 for the lowest one) = 197 meV/atom

***

Total DFT energy (no corrections)? In order: -4.830; -6.327; -4.384; -7.143; -7.547; -5.139; -2.360; -1.700; -6.631; -9.177; -1.535; -8.939 eV per atom.